(1)
V2Cu3NiO6, single point on PBEsol structure, DFT meta-GGA SCAN; E = -12.80 eV/atom; raw formation energy = -1.6234 eV per atom; density of states at the Fermi level = 3.08 states/eV/f.u.
1.0
4.9616 -0.0237 -0.0068
-2.4643 4.3064 -0.0068
-0.8228 -1.4111 5.8420
V Cu Ni O
2 3 1 6
Cartesian
1.2520 2.1394 -0.0068
-1.2297 3.5865 -0.0068
-0.3995 2.1569 2.9141
2.0947 0.7025 2.9141
4.5310 -0.7182 2.9141
3.7240 0.6979 -0.0068
-0.3873 2.1795 1.0814
-0.4131 2.1352 4.7469
2.0955 3.5479 1.0768
2.0450 0.7079 1.0837
2.0655 0.7431 4.7446
-0.3813 -0.6996 4.7515


(2)
ZrCuNiO2, single point on PBEsol structure, DFT meta-GGA SCAN; E = -15.32 eV/atom; raw formation energy = -0.4118 eV per atom; density of states at the Fermi level = 2.65 states/eV/f.u.
1.0
3.7257 0.0000 0.0000
0.0000 3.7257 0.0000
0.0000 0.0000 4.2807
O Ni Cu Zr
2 1 1 1
Cartesian
0.0000 1.8628 0.0000
1.8628 0.0000 0.0000
0.0000 0.0000 2.1403
0.0000 0.0000 0.0000
1.8628 1.8628 2.1403


(3)
CuNiOs2, single point on PBEsol structure, DFT meta-GGA SCAN; formation energy = 268 meV/atom; E = -43.51 eV/atom; density of states at the Fermi level = 4.18 states/eV/f.u.; relative energy among the computed polymorphs = 0 meV per atom
1.0
2.6371 0.0000 0.0000
1.3185 2.2838 0.0000
1.3185 0.7613 8.4212
Cu Ni Os
1 1 2
Cartesian
2.6371 1.5225 4.2106
0.0000 0.0000 0.0000
1.3185 0.7613 2.0507
3.9556 2.2838 6.3705


(4)
CuNiOs2, single point on PBEsol structure, DFT meta-GGA SCAN; formation energy = 473 meV/atom; E = -43.31 eV/atom; density of states at the Fermi level = 4.28 states/eV/f.u.; relative energy among the computed polymorphs = 205 meV per atom
1.0
2.7180 0.0000 0.0000
0.0000 4.3316 0.0000
0.0000 0.0000 4.3837
Cu Ni Os
1 1 2
Cartesian
1.3590 2.1658 0.0000
0.0000 2.1658 2.1919
0.0000 0.0000 0.0000
1.3590 0.0000 2.1919


(5)
CuNi6Os, single point on PBEsol structure, DFT meta-GGA SCAN; formation energy = 105 meV/atom; E = -22.91 eV/atom; density of states at the Fermi level = 7.47 states/eV/f.u.
1.0
-1.2544 -3.1678 5.0555
5.2870 2.9487 0.7211
-4.8854 7.8528 3.7083
Cu Ni Os
4 24 4
Cartesian
3.6447 1.4131 1.8093
0.3879 -1.6322 3.9673
-1.6580 5.7965 5.6773
0.8052 1.8372 3.8076
-0.0025 7.3096 4.5790
-2.0712 5.9480 8.1178
-2.4513 7.5841 4.1525
-3.2861 4.2393 6.7548
-4.0840 6.0574 5.2344
-0.4384 7.4747 7.0359
-0.4264 3.8168 4.7425
-1.2348 5.6256 3.2157
-2.8727 4.0942 4.3010
2.4333 3.3943 2.7301
0.3820 2.0081 6.2692
-0.0055 3.6495 2.2826
-0.8503 0.3241 4.9059
-1.6433 2.1181 3.3679
2.0198 3.5395 5.1839
2.0163 -0.1096 2.8883
1.2183 1.6856 1.3671
-0.4145 0.1589 2.4490
-2.4427 3.9264 1.8541
0.7905 5.5155 6.1170
-0.8473 3.9841 7.2023
0.0000 0.0000 0.0000
3.2312 1.5762 4.2505
1.5984 0.0495 5.3324
1.2011 5.3386 3.6640
-2.0539 2.2951 5.8209
-3.7013 5.9495 2.8095
-1.1840 1.9032 0.8988


(6)
Cu2NiP, single point on PBEsol structure, DFT meta-GGA SCAN; formation energy = -48 meV/atom; E = -14.29 eV/atom; density of states at the Fermi level = 1.20 states/eV/f.u.
1.0
-3.1203 -1.0664 -0.9097
1.0559 -3.2483 0.1861
0.0146 2.0347 3.9959
Cu Ni P
2 1 1
Cartesian
-2.0689 -0.5945 1.3622
0.0192 -1.6854 1.9101
-1.0322 -2.1573 -0.3618
0.0000 0.0000 0.0000


(7)
CuNiP2, single point on PBEsol structure, DFT meta-GGA SCAN; formation energy = 203 meV/atom; E = -12.84 eV/atom; density of states at the Fermi level = 1.29 states/eV/f.u.
1.0
2.7394 0.0000 0.0000
0.0000 3.3172 0.0000
0.0000 0.0000 5.3607
Cu Ni P
1 1 2
Cartesian
1.3697 1.6586 0.0000
1.3697 1.6586 2.6803
0.0000 0.0000 3.9044
0.0000 0.0000 1.4563


(8)
CuNiP, single point on PBEsol structure, DFT meta-GGA SCAN; formation energy = -250 meV/atom; E = -14.17 eV/atom; density of states at the Fermi level = 1.96 states/eV/f.u.
1.0
3.7386 0.0000 0.0000
1.8693 3.2377 0.0000
1.8693 1.0792 3.0526
Ni Cu P
1 1 1
Cartesian
3.7386 2.1585 1.5263
0.0000 0.0000 0.0000
1.8693 1.0792 0.7631


(9)
CuNiP2, single point on PBEsol structure, DFT meta-GGA SCAN; formation energy = 241 meV/atom; E = -12.80 eV/atom; density of states at the Fermi level = 1.31 states/eV/f.u.
1.0
3.3612 0.0000 0.0000
0.0000 3.8000 0.0000
0.0000 0.0000 3.7881
Cu Ni P
1 1 2
Cartesian
1.6806 1.9000 0.0000
1.6806 0.0000 1.8940
0.0000 0.0000 0.0000
0.0000 1.9000 1.8940


(10)
CuNiP2, single point on PBEsol structure, DFT meta-GGA SCAN; formation energy = 24 meV/atom; E = -13.02 eV/atom; density of states at the Fermi level = 1.57 states/eV/f.u.
1.0
-0.3809 2.8492 0.3075
-3.1101 -1.7488 -1.2388
-0.3364 -0.5819 4.9743
Cu Ni P
1 1 2
Cartesian
-0.1682 -0.2909 2.4871
-0.1905 1.4246 0.1538
-2.1429 0.8094 3.4346
-1.6845 -0.2909 0.6084


(11)
CuNiP2, single point on PBEsol structure, DFT meta-GGA SCAN; formation energy = 119 meV/atom; E = -12.92 eV/atom; density of states at the Fermi level = 1.85 states/eV/f.u.
1.0
2.5835 0.0000 0.0000
0.0000 3.7378 0.0000
0.0000 0.0000 5.0620
Cu Ni P
1 1 2
Cartesian
0.0000 0.0000 2.3542
1.2917 1.8689 4.0127
0.0000 0.0000 4.7130
1.2917 1.8689 1.5751


(12)
CuNiP2, single point on PBEsol structure, DFT meta-GGA SCAN; formation energy = 44 meV/atom; E = -13.00 eV/atom; density of states at the Fermi level = 1.91 states/eV/f.u.
1.0
2.5355 0.0000 -0.0318
0.0000 3.3487 0.0000
-1.2085 0.0000 5.9756
Cu Ni P
1 1 2
Cartesian
-0.4450 0.0000 2.9454
0.8061 1.6743 1.4607
2.0614 0.0000 0.4292
0.8358 1.6743 4.0644


(13)
Cu2NiP, single point on PBEsol structure, DFT meta-GGA SCAN; formation energy = -41 meV/atom; E = -14.28 eV/atom; density of states at the Fermi level = 1.38 states/eV/f.u.
1.0
-1.2868 -3.0494 1.3245
2.9835 -1.6858 -0.9826
0.5821 3.1026 2.9111
Cu Ni P
2 1 1
Cartesian
0.0000 0.0000 0.0000
0.0718 -1.1571 2.2033
0.8483 -2.3676 0.1709
2.2069 -0.4754 1.0497


(14)
CuNiP2S, single point on PBEsol structure, DFT meta-GGA SCAN; E = -11.21 eV/atom; raw formation energy = 1.1465 eV per atom; density of states at the Fermi level = 3.24 states/eV/f.u.
1.0
4.3307 0.0000 0.0000
0.0000 4.3307 0.0000
0.0000 0.0000 4.4745
Ni S Cu P
1 1 1 2
Cartesian
2.1653 2.1653 2.2372
0.0000 0.0000 2.2372
0.0000 0.0000 0.0000
0.0000 2.1653 0.0000
2.1653 0.0000 0.0000


(15)
Cu2NiPb, single point on PBEsol structure, DFT meta-GGA SCAN; formation energy = 274 meV/atom; E = -30.31 eV/atom; density of states at the Fermi level = 1.67 states/eV/f.u.
1.0
-3.6681 -0.6526 -0.3087
-0.1712 -0.7669 3.6550
1.1629 4.5941 -0.8935
Cu Ni Pb
2 1 1
Cartesian
-2.2124 1.6158 0.2354
-0.4639 1.5587 2.2173
-1.9197 -0.7098 1.6731
0.0000 0.0000 0.0000


(16)
CuNiPb2, single point on PBEsol structure, DFT meta-GGA SCAN; formation energy = 235 meV/atom; E = -45.50 eV/atom; density of states at the Fermi level = 2.59 states/eV/f.u.
1.0
-3.0050 1.4661 -2.2668
-2.5343 -2.5266 -1.8739
-5.3434 -0.3065 3.2858
Cu Ni Pb
1 1 2
Cartesian
-5.0993 -0.6881 -0.8839
-3.0518 -0.3373 0.2281
-5.8629 -1.0561 -3.7089
-7.8493 -1.0294 -1.0584


(17)
Cu2NiPb, single point on PBEsol structure, DFT meta-GGA SCAN; formation energy = 279 meV/atom; E = -30.31 eV/atom; density of states at the Fermi level = 1.52 states/eV/f.u.
1.0
4.3003 0.0000 0.0000
2.1502 3.7242 0.0000
2.1502 1.2414 3.5112
Cu Ni Pb
2 1 1
Cartesian
0.0000 0.0000 0.0000
6.4505 3.7242 2.6334
4.3003 2.4828 1.7556
2.1502 1.2414 0.8778


(18)
Cu2NiPb, single point on PBEsol structure, DFT meta-GGA SCAN; formation energy = 360 meV/atom; E = -30.23 eV/atom; density of states at the Fermi level = 1.64 states/eV/f.u.
1.0
-3.7530 -0.5654 -1.4652
-0.7649 -3.1333 -2.4797
-2.4265 -3.5956 1.9544
Cu Ni Pb
2 1 1
Cartesian
-1.8197 -2.0381 -0.2008
-5.1247 -5.2563 -1.7897
-3.4722 -3.6472 -0.9952
0.0000 0.0000 0.0000


(19)
Sc2CuNiPd, single point on PBEsol structure, DFT meta-GGA SCAN; formation energy = 145 meV/atom; E = -18.38 eV/atom; density of states at the Fermi level = 2.90 states/eV/f.u.
1.0
4.5443 0.0000 0.0000
0.0000 4.5990 0.0000
0.0000 0.0000 4.5990
Sc Ni Cu Pd
2 1 1 1
Cartesian
0.0000 0.0000 2.2995
0.0000 2.2995 0.0000
0.0000 0.0000 0.0000
2.2722 2.2995 2.2995
2.2722 0.0000 0.0000


(20)
CuNi2TePd, single point on PBEsol structure, DFT meta-GGA SCAN; E = -22.80 eV/atom; raw formation energy = 0.7166 eV per atom; density of states at the Fermi level = 3.21 states/eV/f.u.
1.0
4.2687 0.0000 0.0000
0.0000 4.2687 0.0000
0.0000 0.0000 4.5322
Ni Te Cu Pd
2 1 1 1
Cartesian
0.0000 2.1343 0.0000
2.1343 0.0000 0.0000
2.1343 2.1343 2.2661
0.0000 0.0000 0.0000
0.0000 0.0000 2.2661


(21)
Pm2CuNi, single point on PBEsol structure, DFT meta-GGA SCAN; formation energy = -224 meV/atom; E = -30.06 eV/atom; density of states at the Fermi level = 3.00 states/eV/f.u.
1.0
-4.0526 1.9143 -1.9283
-2.5190 -2.4928 -3.3537
-4.3599 -1.8804 1.1232
Ni Cu Pm
1 1 2
Cartesian
0.0000 0.0000 0.0000
-5.4657 -1.2294 -2.0794
-2.7329 -0.6147 -1.0397
-8.1986 -1.8442 -3.1191


(22)
Cu2NiPt, single point on PBEsol structure, DFT meta-GGA SCAN; formation energy = -32 meV/atom; E = -29.22 eV/atom; density of states at the Fermi level = 2.38 states/eV/f.u.
1.0
-1.6122 0.9874 1.7528
-2.7324 -3.2009 -0.7100
2.1220 -2.4819 3.0227
Ni Cu Pt
1 2 1
Cartesian
-2.1723 -1.1068 0.5214
0.4410 -1.1675 3.5658
0.0688 -0.3271 1.2096
-0.3052 -2.8414 1.1563


(23)
CuNiPt2, single point on PBEsol structure, DFT meta-GGA SCAN; formation energy = -169 meV/atom; E = -43.11 eV/atom; density of states at the Fermi level = 2.21 states/eV/f.u.
1.0
2.6866 0.0000 0.0000
-1.3433 4.2785 -0.0077
0.0000 -0.8356 4.5861
Ni Cu Pt
1 1 2
Cartesian
1.3433 0.0000 0.0000
0.0000 -0.4178 2.2930
1.3433 1.5239 3.4460
0.0000 1.9190 1.1324


(24)
Cu2NiPt, single point on PBEsol structure, DFT meta-GGA SCAN; formation energy = -70 meV/atom; E = -29.26 eV/atom; density of states at the Fermi level = 2.95 states/eV/f.u.
1.0
2.6271 0.0000 0.0000
0.0000 3.5474 0.0000
0.0000 0.0000 5.1905
Ni Cu Pt
1 2 1
Cartesian
0.0000 0.0000 2.5543
0.0000 0.0000 0.0679
1.3135 1.7737 1.2967
1.3135 1.7737 3.8675


(25)
Cu2NiPt, single point on PBEsol structure, DFT meta-GGA SCAN; formation energy = -62 meV/atom; E = -29.25 eV/atom; density of states at the Fermi level = 2.28 states/eV/f.u.
1.0
-1.2206 2.2258 -0.8824
1.1746 -0.9335 -3.9795
-3.5585 -2.8265 1.8853
Ni Cu Pt
1 2 1
Cartesian
-0.6103 1.1129 -0.4412
-1.8934 -0.4926 -2.7159
-1.7110 -1.0416 -0.2607
0.5873 -0.4668 -1.9897


(26)
CuNi2Pt, single point on PBEsol structure, DFT meta-GGA SCAN; formation energy = -16 meV/atom; E = -29.45 eV/atom; density of states at the Fermi level = 3.98 states/eV/f.u.
1.0
-0.4526 2.5808 -0.3292
-1.0029 0.1353 2.4392
6.1739 1.3966 2.4610
Ni Cu Pt
2 1 1
Cartesian
4.5446 1.0280 1.8116
1.6293 0.3686 0.6494
2.3592 2.0563 2.2855
-0.7277 1.3580 1.0550


(27)
CuNi2Pt, single point on PBEsol structure, DFT meta-GGA SCAN; formation energy = -101 meV/atom; E = -29.54 eV/atom; density of states at the Fermi level = 2.84 states/eV/f.u.
1.0
-1.9814 2.7154 -1.3643
-2.7736 -0.9506 2.1364
3.6095 1.3104 2.1892
Ni Cu Pt
2 1 1
Cartesian
0.0000 0.0000 0.0000
-0.3747 2.4541 0.6055
-0.7708 0.6211 2.3558
-2.3775 0.8824 0.3860


(28)
CuNiPt2, single point on PBEsol structure, DFT meta-GGA SCAN; formation energy = -178 meV/atom; E = -43.12 eV/atom; density of states at the Fermi level = 2.16 states/eV/f.u.
1.0
3.8261 0.0000 0.0000
0.0000 3.8261 0.0000
-1.9130 -1.9130 3.5619
Ni Cu Pt
1 1 2
Cartesian
0.0000 0.0000 0.0000
1.9130 1.9130 0.0000
1.9130 0.0000 1.7810
0.0000 1.9130 1.7810